Material: Hg2AsW
Method: DFT, PBE-GGA
State: relaxed

a = 7.151 Å, b = 7.151 Å, c = 7.151 Å
α = 157.23°, β = 138.83°, γ = 47.56°
Positions (direct):
Hg  0.684  0.184  0.500
Hg  0.011  0.011  0.000
W  0.484  0.484  0.000
As  0.321  0.821  0.500

Formation energy in meV/atom: 470.1
Volume in Å³ per cell: 92.9
E in eV per formula unit: -16.33